Record 1
Below is a relaxed Tb5Sc2Bi5 crystal, with properties calculated at the PBE level.

Summary:
* crystal system: monoclinic
* electronic total energy: -124.63 eV for the cell shown

Unit cell a=14.562 b=4.418 c=12.569 alpha=90.00 beta=113.19 gamma=90.00
Space group C2/m (No. 12)
Unique sites:
Tb: 0.000 0.000 0.000 (multiplicity 2)
Tb: 0.164 0.000 0.531 (multiplicity 4)
Tb: 0.219 0.000 0.840 (multiplicity 4)
Sc: 0.057 0.500 0.298 (multiplicity 4)
Bi: 0.000 0.500 0.500 (multiplicity 2)
Bi: 0.111 0.500 0.921 (multiplicity 4)
Bi: 0.188 0.000 0.279 (multiplicity 4)

Record 2
Below is a relaxed Tb2ScBi crystal, with properties calculated at the PBE level.

Summary:
* crystal system: tetragonal
* E above lowest polymorph: 0.00 kcal/mol of atoms

Unit cell a=4.137 b=4.137 c=6.631 alpha=90.00 beta=90.00 gamma=90.00
Space group P4/mmm (No. 123)
Unique sites:
Tb: 0.000 0.000 0.246 (multiplicity 2)
Sc: 0.500 0.500 0.500 (multiplicity 1)
Bi: 0.500 0.500 0.000 (multiplicity 1)

Record 3
Below is a relaxed TbSc2Bi crystal, with properties calculated at the PBE level.

Summary:
* crystal system: tetragonal
* E above lowest polymorph: 1.64 kcal/mol of atoms

Unit cell a=4.716 b=4.716 c=4.586 alpha=90.00 beta=90.00 gamma=90.00
Space group P4/mmm (No. 123)
Unique sites:
Tb: 0.000 0.000 0.000 (multiplicity 1)
Sc: 0.000 0.500 0.500 (multiplicity 2)
Bi: 0.500 0.500 0.000 (multiplicity 1)

Record 4
Below is a relaxed Tb2Sc3Bi2 crystal, with properties calculated at the PBE level.

Summary:
* crystal system: monoclinic
* electronic total energy: -78.30 eV for the cell shown

Unit cell a=11.805 b=4.246 c=8.273 alpha=90.00 beta=110.95 gamma=90.00
Space group C2/m (No. 12)
Unique sites:
Tb: 0.120 0.000 0.267 (multiplicity 4)
Sc: 0.000 0.500 0.500 (multiplicity 2)
Sc: 0.123 0.500 0.942 (multiplicity 4)
Bi: 0.169 0.000 0.701 (multiplicity 4)

Record 5
Below is a relaxed Tb2ScBi crystal, with properties calculated at the PBE level.

Summary:
* crystal system: trigonal
* E above lowest polymorph: 4.66 kcal/mol of atoms

Unit cell a=3.5808 b=3.5808 c=31.9336 alpha=90.00 beta=90.00 gamma=120.00
Space group R3m (No. 160, hexagonal axes)
Unique sites:
Tb: 0.0000 0.0000 0.0000 (multiplicity 3)
Tb: 0.0000 0.0000 0.1654 (multiplicity 3)
Sc: 0.0000 0.0000 0.4159 (multiplicity 3)
Bi: 0.0000 0.0000 0.5825 (multiplicity 3)

Record 6
Below is a relaxed TbSc2Bi crystal, with properties calculated at the PBE level.

Summary:
* crystal system: tetragonal
* E above lowest polymorph: 2.14 kcal/mol of atoms

Unit cell a=3.871 b=3.871 c=7.026 alpha=90.00 beta=90.00 gamma=90.00
Space group P4/mmm (No. 123)
Unique sites:
Tb: 0.000 0.000 0.000 (multiplicity 1)
Sc: 0.500 0.500 0.274 (multiplicity 2)
Bi: 0.000 0.000 0.500 (multiplicity 1)

Record 7
Below is a relaxed TbSc3Bi2 crystal, with properties calculated at the PBE level.

Summary:
* crystal system: monoclinic
* electronic total energy: -136.24 eV for the cell shown

Unit cell a=17.850 b=4.317 c=9.066 alpha=90.00 beta=112.89 gamma=90.00
Space group C2/m (No. 12)
Unique sites:
Tb: 0.111 0.000 0.120 (multiplicity 4)
Sc: 0.066 0.000 0.675 (multiplicity 4)
Sc: 0.141 0.500 0.489 (multiplicity 4)
Sc: 0.191 0.500 0.896 (multiplicity 4)
Bi: 0.011 0.500 0.827 (multiplicity 4)
Bi: 0.248 0.000 0.714 (multiplicity 4)

Record 8
Below is a relaxed Tb4ScBi2 crystal, with properties calculated at the PBE level.

Summary:
* crystal system: tetragonal
* electronic total energy: -63.47 eV for the cell shown

Unit cell a=5.179 b=5.179 c=16.849 alpha=90.00 beta=90.00 gamma=90.00
Space group I4/mmm (No. 139)
Unique sites:
Tb: 0.000 0.000 0.179 (multiplicity 4)
Tb: 0.000 0.500 0.000 (multiplicity 4)
Sc: 0.000 0.000 0.000 (multiplicity 2)
Bi: 0.000 0.000 0.363 (multiplicity 4)

Record 9
Below is a relaxed Tb3Sc2Bi3 crystal, with properties calculated at the PBE level.

Summary:
* crystal system: hexagonal
* electronic total energy: -87.32 eV for the cell shown

Unit cell a=9.0109 b=9.0109 c=6.2357 alpha=90.00 beta=90.00 gamma=120.00
Space group P6_3/mcm (No. 193)
Unique sites:
Tb: 0.0000 0.2436 0.2500 (multiplicity 6)
Sc: 0.3333 0.6667 0.0000 (multiplicity 4)
Bi: 0.0000 0.3957 0.7500 (multiplicity 6)

Record 10
Below is a relaxed TbSc2Bi2 crystal, with properties calculated at the PBE level.

Summary:
* crystal system: monoclinic
* electronic total energy: -54.42 eV for the cell shown

Unit cell a=6.172 b=6.170 c=7.958 alpha=90.00 beta=112.49 gamma=90.00
Space group C2/m (No. 12)
Unique sites:
Tb: 0.000 0.000 0.000 (multiplicity 2)
Sc: 0.000 0.250 0.500 (multiplicity 4)
Bi: 0.111 0.500 0.218 (multiplicity 4)

Record 11
Below is a relaxed Tb5ScBi6 crystal, with properties calculated at the PBE level.

Summary:
* crystal system: monoclinic
* electronic total energy: -125.59 eV for the cell shown

Unit cell a=7.722 b=13.379 c=7.725 alpha=90.00 beta=109.52 gamma=90.00
Space group C2/m (No. 12)
Unique sites:
Tb: 0.000 0.000 0.000 (multiplicity 2)
Tb: 0.000 0.165 0.500 (multiplicity 4)
Tb: 0.000 0.330 0.000 (multiplicity 4)
Sc: 0.000 0.500 0.500 (multiplicity 2)
Bi: 0.242 0.500 0.252 (multiplicity 4)
Bi: 0.243 0.337 0.744 (multiplicity 8)

Record 12
Below is a relaxed Tb2ScBi crystal, with properties calculated at the PBE level.

Summary:
* crystal system: trigonal
* E above lowest polymorph: 9.43 kcal/mol of atoms

Unit cell a=3.4836 b=3.4836 c=35.3431 alpha=90.00 beta=90.00 gamma=120.00
Space group R-3m (No. 166, hexagonal axes)
Unique sites:
Tb: 0.0000 0.0000 0.0902 (multiplicity 6)
Sc: 0.0000 0.0000 0.5000 (multiplicity 3)
Bi: 0.0000 0.0000 0.0000 (multiplicity 3)

What is the formula in the sixth record? TbSc2Bi

Copy entry 12 word for word.
Below is a relaxed Tb2ScBi crystal, with properties calculated at the PBE level.

Summary:
* crystal system: trigonal
* E above lowest polymorph: 9.43 kcal/mol of atoms

Unit cell a=3.4836 b=3.4836 c=35.3431 alpha=90.00 beta=90.00 gamma=120.00
Space group R-3m (No. 166, hexagonal axes)
Unique sites:
Tb: 0.0000 0.0000 0.0902 (multiplicity 6)
Sc: 0.0000 0.0000 0.5000 (multiplicity 3)
Bi: 0.0000 0.0000 0.0000 (multiplicity 3)